Crystalline K4PuSiSe6 at its relaxed geometry. Source: OQMD via LeMat-Bulk, functional PBE. Values from VASP.

```
&SYSTEM
  ibrav = 0, nat = 12, ntyp = 4
/
ATOMIC_SPECIES
K 39.10 K.upf
Se 78.96 Se.upf
Pu 244.00 Pu.upf
Si 28.09 Si.upf
CELL_PARAMETERS angstrom
7.033 0.000 0.000
3.024 7.154 0.000
2.757 1.290 8.330
ATOMIC_POSITIONS crystal
K 0.388 0.795 0.900
K 0.844 0.547 0.308
K 0.592 0.203 0.123
K 0.152 0.470 0.684
Se 0.327 0.632 0.290
Se 0.788 0.948 0.441
Se 0.871 0.795 0.937
Se 0.131 0.165 0.098
Se 0.259 0.030 0.496
Se 0.648 0.416 0.727
Pu 0.861 0.059 0.679
Si 0.139 0.939 0.316
```

Computed properties:
Calculated volume in Å³ per cell: 419.09
E_tot in eV per atom: -4.77

---

Crystalline Gd3Dy2HoTe2Pt at its relaxed geometry. Source: OQMD via LeMat-Bulk, functional PBE. Values from VASP.

```
&SYSTEM
  ibrav = 0, nat = 9, ntyp = 5
/
ATOMIC_SPECIES
Gd 157.25 Gd.upf
Dy 162.50 Dy.upf
Te 127.60 Te.upf
Pt 195.08 Pt.upf
Ho 164.93 Ho.upf
CELL_PARAMETERS angstrom
-1.675 -3.545 0.675
-1.528 2.240 7.972
-5.721 1.564 -5.978
ATOMIC_POSITIONS crystal
Gd 0.500 0.000 0.598
Gd 0.500 0.598 0.000
Gd 0.500 0.403 0.403
Dy 0.000 0.000 0.245
Dy 0.000 0.245 0.000
Te 0.000 0.334 0.667
Te 0.000 0.667 0.334
Pt 0.500 0.999 0.999
Ho 0.000 0.756 0.756
```

Computed properties:
Calculated volume in Å³ per cell: 244.40
E_tot in eV per atom: -5.38

---

Crystalline GdAg6Sn at its relaxed geometry. Source: OQMD via LeMat-Bulk, functional PBE. Values from VASP.

```
&SYSTEM
  ibrav = 0, nat = 8, ntyp = 3
/
ATOMIC_SPECIES
Ag 107.87 Ag.upf
Sn 118.71 Sn.upf
Gd 157.25 Gd.upf
CELL_PARAMETERS angstrom
-0.548 -4.351 -2.386
-0.356 -2.851 5.281
-5.228 0.657 0.003
ATOMIC_POSITIONS crystal
Ag 0.000 0.742 0.658
Ag 0.500 0.254 0.344
Ag 0.500 0.746 0.344
Ag 0.500 0.000 0.813
Ag 0.000 0.500 0.172
Ag 0.000 0.258 0.658
Sn 0.500 0.500 0.855
Gd 0.000 0.000 0.157
```

Computed properties:
Calculated volume in Å³ per cell: 158.15
E_tot in eV per atom: -3.29

---

Crystalline Sc3Fe4P4 at its relaxed geometry. Source: OQMD via LeMat-Bulk, functional PBE. Values from VASP.

```
&SYSTEM
  ibrav = 0, nat = 11, ntyp = 3
/
ATOMIC_SPECIES
P 30.97 P.upf
Fe 55.84 Fe.upf
Sc 44.96 Sc.upf
CELL_PARAMETERS angstrom
-1.829 3.252 6.104
1.829 -3.252 6.104
1.829 3.252 -6.104
ATOMIC_POSITIONS crystal
P 0.705 0.000 0.705
P 0.295 0.000 0.295
P 0.778 0.278 0.500
P 0.222 0.722 0.500
Fe 0.630 0.825 0.806
Fe 0.019 0.825 0.194
Fe 0.370 0.175 0.194
Fe 0.981 0.175 0.806
Sc 0.622 0.622 0.000
Sc 0.378 0.378 0.000
Sc 0.000 0.500 0.500
```

Computed properties:
Calculated volume in Å³ per cell: 145.23
E_tot in eV per atom: -7.70

---

Crystalline Y4Ni3W2C3 at its relaxed geometry. Source: OQMD via LeMat-Bulk, functional PBE. Values from VASP.

```
&SYSTEM
  ibrav = 0, nat = 24, ntyp = 4
/
ATOMIC_SPECIES
W 183.84 W.upf
C 12.01 C.upf
Ni 58.69 Ni.upf
Y 88.91 Y.upf
CELL_PARAMETERS angstrom
-4.033 3.500 -2.401
-4.376 -2.353 -3.097
-4.454 -1.239 12.620
ATOMIC_POSITIONS crystal
W 0.525 0.340 0.075
W 0.660 0.475 0.425
W 0.475 0.660 0.925
W 0.340 0.525 0.575
C 0.792 0.354 0.000
C 0.646 0.208 0.500
C 0.208 0.646 0.000
C 0.500 0.000 0.000
C 0.000 0.500 0.500
C 0.354 0.792 0.500
Ni 0.186 0.814 0.750
Ni 0.350 0.415 0.249
Ni 0.814 0.186 0.250
Ni 0.650 0.585 0.751
Ni 0.585 0.650 0.251
Ni 0.415 0.350 0.749
Y 0.885 0.701 0.116
Y 0.810 0.950 0.884
Y 0.701 0.885 0.616
Y 0.115 0.299 0.884
Y 0.299 0.115 0.384
Y 0.190 0.050 0.116
Y 0.950 0.810 0.384
Y 0.050 0.190 0.616
```

Computed properties:
Calculated volume in Å³ per cell: 388.95
E_tot in eV per atom: -8.25

---

Crystalline DyBiN2O at its relaxed geometry. Source: OQMD via LeMat-Bulk, functional PBE. Values from VASP.

```
&SYSTEM
  ibrav = 0, nat = 20, ntyp = 4
/
ATOMIC_SPECIES
O 16.00 O.upf
N 14.01 N.upf
Dy 162.50 Dy.upf
Bi 208.98 Bi.upf
CELL_PARAMETERS angstrom
8.570 0.000 0.000
0.000 5.609 0.000
0.000 0.000 5.867
ATOMIC_POSITIONS crystal
O 0.000 0.897 0.541
O 0.000 0.103 0.041
O 0.500 0.397 0.911
O 0.500 0.603 0.411
N 0.672 0.057 0.279
N 0.828 0.443 0.673
N 0.172 0.557 0.173
N 0.672 0.943 0.779
N 0.328 0.057 0.279
N 0.172 0.443 0.673
N 0.328 0.943 0.779
N 0.828 0.557 0.173
Dy 0.000 0.277 0.409
Dy 0.000 0.723 0.909
Dy 0.500 0.223 0.543
Dy 0.500 0.777 0.043
Bi 0.750 0.250 0.976
Bi 0.750 0.750 0.476
Bi 0.250 0.750 0.476
Bi 0.250 0.250 0.976
```

Computed properties:
Calculated volume in Å³ per cell: 281.98
E_tot in eV per atom: -6.68

---

Crystalline TlIr3S5 at its relaxed geometry. Source: OQMD via LeMat-Bulk, functional PBE. Values from VASP.

```
&SYSTEM
  ibrav = 0, nat = 9, ntyp = 3
/
ATOMIC_SPECIES
Ir 192.22 Ir.upf
S 32.06 S.upf
Tl 204.38 Tl.upf
CELL_PARAMETERS angstrom
5.713 0.000 0.000
-2.856 4.947 0.000
0.000 0.000 6.797
ATOMIC_POSITIONS crystal
Ir 0.000 0.500 0.500
Ir 0.500 0.500 0.500
Ir 0.500 0.000 0.500
S 0.000 0.000 0.500
S 0.667 0.333 0.252
S 0.333 0.667 0.252
S 0.333 0.667 0.748
S 0.667 0.333 0.748
Tl 0.000 0.000 0.000
```

Computed properties:
Calculated volume in Å³ per cell: 192.08
E_tot in eV per atom: -5.56

---

| no. | calculated density (g/cm3) |
| --- | --- |
| 1 | 3.57 |
| 2 | 9.59 |
| 3 | 9.69 |
| 4 | 5.51 |
| 5 | 7.99 |
| 6 | 9.79 |
| 7 | 8.14 |